(1)
Material: LaPHS2
Method: DFT, PBE
State: optimized geometry

Computed properties:
spin magnetization	4.213	μB per cell

a = 5.579 Å, b = 5.579 Å, c = 6.018 Å
α = 90.00°, β = 90.00°, γ = 90.00°
Last column: magnetic moment on the atom in μB.
Element x y z (fractional)
P: 0.000 0.000 0.500  0.86
H: 0.500 0.500 0.500  0.38
La: 0.000 0.000 0.000  0.07
S: 0.000 0.500 0.000  0.35
S: 0.500 0.000 0.000  0.35


(2)
Material: LaPHS2
Method: DFT, PBE
State: optimized geometry

Computed properties:
spin magnetization	0.000	μB per cell

a = 4.845 Å, b = 4.845 Å, c = 3.544 Å
α = 90.00°, β = 90.00°, γ = 90.00°
Element x y z (fractional)
S: 0.500 0.000 0.000
P: 0.000 0.000 0.500
La: 0.500 0.500 0.500
S: 0.000 0.500 0.000
H: 0.000 0.000 0.000


From most stable to least stable, the computed energies give (2), (1).